DFT (PBE with a Hubbard U) results for a relaxed MnZnPbF6 crystal.

Values from the calculation:
The electronic total energy comes out at -5.099 eV per atom. The value obtained for the volume is 280.9 Å³ per cell. As for the space group: P-31c (163).

abc: 5.557 5.557 10.503
angles: 90.00 90.00 120.00
Sites, in units of the cell vectors:
Mn (0.333, 0.667, 0.250)
Mn (0.667, 0.333, 0.750)
Zn (0.333, 0.667, 0.750)
Zn (0.667, 0.333, 0.250)
Pb (0.000, 0.000, 0.000)
Pb (0.000, 0.000, 0.500)
F (0.010, 0.367, 0.642)
F (0.010, 0.643, 0.858)
F (0.357, 0.367, 0.858)
F (0.357, 0.990, 0.642)
F (0.367, 0.010, 0.142)
F (0.367, 0.357, 0.358)
F (0.633, 0.643, 0.642)
F (0.633, 0.990, 0.858)
F (0.643, 0.010, 0.358)
F (0.643, 0.633, 0.142)
F (0.990, 0.357, 0.142)
F (0.990, 0.633, 0.358)